The following is a PBE calculation of a geometry-optimized La14PrSn structure, from Alexandria via LeMat-Bulk.

a = 7.341 Å, b = 7.341 Å, c = 10.407 Å
α = 90.00°, β = 90.00°, γ = 89.95°
Element x y z (fractional)
La 0.375 0.625 0.500
La 0.875 0.125 0.500
La 0.875 0.625 0.000
La 0.875 0.625 0.500
La 0.375 0.125 0.000
La 0.375 0.125 0.500
La 0.615 0.865 0.758
La 0.615 0.865 0.242
La 0.135 0.385 0.758
La 0.135 0.385 0.242
La 0.136 0.864 0.758
La 0.136 0.864 0.242
La 0.614 0.386 0.758
La 0.614 0.386 0.242
Pr 0.875 0.125 0.000
Sn 0.375 0.625 0.000

## Properties
ΔH_f (0 K) = -101 meV/atom
Energy = -4.9617 eV/atom
Magnetic moment = 0.0000 μB per atom